{"formula": "BaY2Tc", "functional": "PBE", "state": "optimized geometry", "delta_e_f_ev_per_atom": 0.3222, "vol_a3_per_atom": 33.366, "lattice_angstrom": [[-0.263, 5.947, -5.886], [-0.565, 0.487, -8.338], [-2.381, -2.302, 7.688]], "species": ["Ba", "Tc", "Y", "Y"], "fractional_positions": [[0.421, 0.421, 0.000], [0.236, 0.736, 0.500], [0.099, 0.099, 0.000], [0.744, 0.244, 0.500]]}